Entry from Alexandria: a relaxed structure of U2ZnSi4Rh3 (PBE-GGA).

Computed properties:
N(E_F): 1.575 states/eV/atom
Raw total energy: -7.373 eV per atom
Energy relative to the elements, uncorrected: -0.613 eV/atom
Space group: P-4m2, No. 115

```
10
Lattice="4.084 0.000 0.000 0.000 4.084 0.000 0.000 0.000 10.023" Properties=species:S:1:pos:R:3 pbc="T T T"
Si 0.000 2.042 3.610
Si 2.042 0.000 6.412
Si 2.042 2.042 0.000
Si 0.000 0.000 0.000
Rh 0.000 0.000 5.011
Rh 2.042 0.000 8.766
Rh 0.000 2.042 1.256
U 2.042 0.000 2.462
U 0.000 2.042 7.561
Zn 2.042 2.042 5.011
```